Entry 1:
# BaTh2N4

A relaxed BaTh2N4 crystal (PBE, Alexandria via LeMat-Bulk).

Cell: 7.4222 7.4222 7.4222 Å, 118.16 118.16 93.22°
Last column: nearest neighbours and their distance in Å.
Fractional positions:
1 Ba 0.3750 0.6250 0.7500  4 N 2.70
2 Ba 0.6250 0.3750 0.2500  4 N 2.70
3 Th 0.0000 0.0000 0.0000  6 N 2.31-2.50
4 Th 0.0000 0.0000 0.5000  6 N 2.31-2.50
5 Th 0.0000 0.5000 0.0000  6 N 2.31-2.50
6 Th 0.5000 0.0000 0.5000  6 N 2.31-2.50
7 N 0.1835 0.2240 0.9594  3 Th 2.31-2.50
8 N 0.2240 0.1835 0.4594  3 Th 2.31-2.50
9 N 0.2240 0.7646 0.0406  3 Th 2.31-2.50
10 N 0.2354 0.7760 0.4594  3 Th 2.31-2.50
11 N 0.7646 0.2240 0.5406  3 Th 2.31-2.50
12 N 0.7760 0.2354 0.9594  3 Th 2.31-2.50
13 N 0.7760 0.8165 0.5406  3 Th 2.31-2.50
14 N 0.8165 0.7760 0.0406  3 Th 2.31-2.50

Output
- Space-group type: I4_1/amd, No. 141
- Fermi-level density of states: 0.647 states/eV per atom
- Raw formation energy: -0.933 eV/atom


Entry 2:
# Ca4ZnCu

A relaxed Ca4ZnCu crystal (PBE, Alexandria via LeMat-Bulk).

Cell: 5.1613 5.1659 7.2579 Å, 89.89 89.94 90.00°
Last column: nearest neighbours and their distance in Å.
Fractional positions:
1 Ca 0.0000 0.0000 0.0000  2 Cu 3.14, 2 Zn 3.17
2 Ca 0.0002 0.0010 0.4928  2 Cu 3.13-3.14, 2 Zn 3.17
3 Ca 0.4999 0.5003 0.0001  2 Cu 3.14-3.15, 2 Zn 3.17
4 Ca 0.5004 0.5008 0.4927  2 Cu 3.14, 2 Zn 3.17
5 Zn 0.0002 0.5003 0.7463  8 Ca 3.17
6 Cu 0.4997 0.0013 0.2470  8 Ca 3.13-3.15

Output
- Space-group type: P1, No. 1
- Energy above the lowest structure with this stoichiometry: 10.59 kJ/mol of atoms
- Fermi-level density of states: 1.035 states/eV per atom
- Formation energy from the elements: -0.001 eV/atom


Entry 3:
# AcGdTlBi

A relaxed AcGdTlBi crystal (PBE, Alexandria via LeMat-Bulk).

Cell: 8.0634 8.0634 8.0634 Å, 90.00 90.00 90.00°
Last column: nearest neighbours and their distance in Å.
Fractional positions:
1 Ac 0.0000 0.0000 0.0000  4 Tl 3.49, 4 Bi 3.49
2 Ac 0.0000 0.5000 0.5000  4 Tl 3.49, 4 Bi 3.49
3 Ac 0.5000 0.0000 0.5000  4 Tl 3.49, 4 Bi 3.49
4 Ac 0.5000 0.5000 0.0000  4 Tl 3.49, 4 Bi 3.49
5 Gd 0.0000 0.0000 0.5000  4 Tl 3.49, 4 Bi 3.49
6 Gd 0.0000 0.5000 0.0000  4 Tl 3.49, 4 Bi 3.49
7 Gd 0.5000 0.0000 0.0000  4 Tl 3.49, 4 Bi 3.49
8 Gd 0.5000 0.5000 0.5000  4 Tl 3.49, 4 Bi 3.49
9 Tl 0.2500 0.2500 0.7500  4 Gd 3.49, 4 Ac 3.49
10 Tl 0.2500 0.7500 0.2500  4 Gd 3.49, 4 Ac 3.49
11 Tl 0.7500 0.2500 0.2500  4 Gd 3.49, 4 Ac 3.49
12 Tl 0.7500 0.7500 0.7500  4 Ac 3.49, 4 Gd 3.49
13 Bi 0.2500 0.2500 0.2500  4 Gd 3.49, 4 Ac 3.49
14 Bi 0.2500 0.7500 0.7500  4 Gd 3.49, 4 Ac 3.49
15 Bi 0.7500 0.2500 0.7500  4 Gd 3.49, 4 Ac 3.49
16 Bi 0.7500 0.7500 0.2500  4 Gd 3.49, 4 Ac 3.49

Output
- Space-group type: F-43m, No. 216
- Fermi-level density of states: 1.629 states/eV per atom
- Formation energy from the elements: -0.460 eV/atom


Entry 4:
# Hf2In2Sn

A relaxed Hf2In2Sn crystal (PBE, Alexandria via LeMat-Bulk).

Cell: 7.2215 7.2215 5.5137 Å, 103.47 103.47 105.69°
Last column: nearest neighbours and their distance in Å.
Fractional positions:
1 Hf 0.0688 0.9312 0.7500  4 In 2.91-3.13, 1 Sn 2.91, 2 Hf 3.18
2 Hf 0.4303 0.5697 0.2500  3 Sn 2.85-3.03, 2 In 2.98, 2 Hf 3.19
3 Hf 0.5697 0.4303 0.7500  3 Sn 2.85-3.03, 2 In 2.98, 2 Hf 3.19
4 Hf 0.9312 0.0688 0.2500  4 In 2.91-3.13, 1 Sn 2.91, 2 Hf 3.18
5 In 0.0329 0.3313 0.8331  3 Hf 2.91-3.13, 2 In 2.91-2.95, 1 Sn 3.00
6 In 0.3313 0.0329 0.3331  3 Hf 2.91-3.13, 2 In 2.91-2.95, 1 Sn 3.00
7 In 0.6687 0.9671 0.6669  3 Hf 2.91-3.13, 2 In 2.91-2.95, 1 Sn 3.00
8 In 0.9671 0.6687 0.1669  3 Hf 2.91-3.13, 2 In 2.91-2.95, 1 Sn 3.00
9 Sn 0.3219 0.6781 0.7500  4 Hf 2.85-3.03, 2 In 3.00
10 Sn 0.6781 0.3219 0.2500  4 Hf 2.85-3.03, 2 In 3.00

Output
- Space-group type: C2/c, No. 15
- Energy above the lowest structure with this stoichiometry: 28.17 kJ/mol of atoms
- Fermi-level density of states: 0.835 states/eV per atom
- Formation energy from the elements: 0.234 eV/atom


Entry 5:
# HfAgAs

A relaxed HfAgAs crystal (PBE, Alexandria via LeMat-Bulk).

Cell: 7.5271 7.5271 7.5271 Å, 35.30 35.30 35.30°
Last column: nearest neighbours and their distance in Å.
Fractional positions:
1 Hf 0.0840 0.0840 0.0840  4 As 2.72-2.83, 3 Ag 3.01
2 Hf 0.9160 0.9160 0.9160  4 As 2.72-2.83, 3 Ag 3.01
3 Ag 0.3482 0.3482 0.3482  3 Ag 2.71, 1 As 2.76, 3 Hf 3.01
4 Ag 0.6518 0.6518 0.6518  3 Ag 2.71, 1 As 2.76, 3 Hf 3.01
5 As 0.2179 0.2179 0.2179  4 Hf 2.72-2.83, 1 Ag 2.76
6 As 0.7821 0.7821 0.7821  4 Hf 2.72-2.83, 1 Ag 2.76

Output
- Space-group type: R-3m, No. 166
- Fermi-level density of states: 0.430 states/eV per atom
- Formation energy from the elements: -0.196 eV/atom


Entry 6:
# RbAsCl3

A relaxed RbAsCl3 crystal (PBE, Alexandria via LeMat-Bulk).

Cell: 6.1245 6.4668 10.5776 Å, 79.21 87.84 89.82°
Last column: nearest neighbours and their distance in Å.
Fractional positions:
1 Rb 0.2501 0.2424 0.0302  6 Cl 3.26-3.60
2 Rb 0.7499 0.7576 0.9698  6 Cl 3.26-3.60
3 As 0.0727 0.5652 0.3846  2 Cl 2.23
4 As 0.9273 0.4348 0.6154  2 Cl 2.23
5 Cl 0.1311 0.2342 0.3593  1 As 2.23
6 Cl 0.2425 0.7282 0.0776  4 Rb 3.26-3.27, 1 As 3.35
7 Cl 0.2659 0.3907 0.6849  1 As 2.23
8 Cl 0.7341 0.6093 0.3151  1 As 2.23
9 Cl 0.7575 0.2718 0.9224  4 Rb 3.26-3.27, 1 As 3.35
10 Cl 0.8689 0.7658 0.6407  1 As 2.23

Output
- Space-group type: P-1, No. 2
- Energy above the lowest structure with this stoichiometry: 0.00 kJ/mol of atoms
- Fermi-level density of states: 0.000 states/eV per atom
- Raw formation energy: -1.111 eV/atom


Entry 7:
# Nd2CCl2

A relaxed Nd2CCl2 crystal (PBE, Alexandria via LeMat-Bulk).

Cell: 10.1949 7.5229 7.0131 Å, 90.00 92.35 90.00°
Last column: nearest neighbours and their distance in Å.
Fractional positions:
1 Nd 0.0862 0.0908 0.2025  3 C 2.46-2.49
2 Nd 0.0862 0.4092 0.7025  3 C 2.46-2.49
3 Nd 0.3025 0.0123 0.7815  1 C 2.24
4 Nd 0.3025 0.4877 0.2815  1 C 2.24
5 Nd 0.6975 0.5123 0.7185  1 C 2.24
6 Nd 0.6975 0.9877 0.2185  1 C 2.24
7 Nd 0.9138 0.5908 0.2975  3 C 2.46-2.49
8 Nd 0.9138 0.9092 0.7975  3 C 2.46-2.49
9 C 0.1035 0.1104 0.8539  4 Nd 2.24-2.49
10 C 0.1035 0.3896 0.3539  4 Nd 2.24-2.49
11 C 0.8965 0.6104 0.6461  4 Nd 2.24-2.49
12 C 0.8965 0.8896 0.1461  4 Nd 2.24-2.49
13 Cl 0.2507 0.6630 0.9279  3 Nd 2.84-2.96
14 Cl 0.2507 0.8370 0.4279  3 Nd 2.84-2.96
15 Cl 0.4008 0.1544 0.1408  2 Nd 2.88-2.89
16 Cl 0.4008 0.3456 0.6408  2 Nd 2.88-2.89
17 Cl 0.5992 0.6544 0.3592  2 Nd 2.88-2.89
18 Cl 0.5992 0.8456 0.8592  2 Nd 2.88-2.89
19 Cl 0.7493 0.1630 0.5721  3 Nd 2.84-2.96
20 Cl 0.7493 0.3370 0.0721  3 Nd 2.84-2.96

Output
- Space-group type: P2_1/c, No. 14
- Raw formation energy: -1.233 eV/atom


Entry 8:
# RbBa

A relaxed RbBa crystal (PBE, Alexandria via LeMat-Bulk).

Cell: 16.9483 16.9483 4.2366 Å, 90.00 90.00 90.00°
Last column: nearest neighbours and their distance in Å.
Fractional positions:
1 Rb 0.1051 0.6547 0.0000  2 Rb 4.24, 2 Ba 4.44-4.67
2 Rb 0.1547 0.3949 0.5000  2 Rb 4.24, 2 Ba 4.44-4.67
3 Rb 0.3453 0.1051 0.0000  2 Rb 4.24, 2 Ba 4.44-4.67
4 Rb 0.3949 0.8453 0.5000  2 Rb 4.24, 2 Ba 4.44-4.67
5 Rb 0.6051 0.1547 0.5000  2 Rb 4.24, 2 Ba 4.44-4.67
6 Rb 0.6547 0.8949 0.0000  2 Rb 4.24, 2 Ba 4.44-4.67
7 Rb 0.8453 0.6051 0.5000  2 Rb 4.24, 2 Ba 4.44-4.67
8 Rb 0.8949 0.3453 0.0000  2 Rb 4.24, 2 Ba 4.44-4.67
9 Ba 0.0871 0.1480 0.0000  4 Ba 4.12-4.24, 1 Rb 4.44
10 Ba 0.1480 0.9129 0.0000  4 Ba 4.12-4.24, 1 Rb 4.44
11 Ba 0.3520 0.5871 0.5000  4 Ba 4.12-4.24, 1 Rb 4.44
12 Ba 0.4129 0.3520 0.5000  4 Ba 4.12-4.24, 1 Rb 4.44
13 Ba 0.5871 0.6480 0.5000  4 Ba 4.12-4.24, 1 Rb 4.44
14 Ba 0.6480 0.4129 0.5000  4 Ba 4.12-4.24, 1 Rb 4.44
15 Ba 0.8520 0.0871 0.0000  4 Ba 4.12-4.24, 1 Rb 4.44
16 Ba 0.9129 0.8520 0.0000  4 Ba 4.12-4.24, 1 Rb 4.44

Output
- Space-group type: I4/m, No. 87
- Fermi-level density of states: 1.320 states/eV per atom
- Formation energy from the elements: 0.243 eV/atom


Entry 9:
# HoPuBe4

A relaxed HoPuBe4 crystal (PBE, Alexandria via LeMat-Bulk).

Cell: 4.9695 4.9695 4.9695 Å, 60.00 60.00 60.00°
Last column: nearest neighbours and their distance in Å.
Fractional positions:
1 Ho 0.0000 0.0000 0.0000  12 Be 2.91, 4 Pu 3.04
2 Pu 0.7500 0.7500 0.7500  12 Be 2.92, 4 Ho 3.04
3 Be 0.3730 0.3730 0.3730  6 Be 2.45-2.52
4 Be 0.3730 0.3730 0.8810  6 Be 2.45-2.52
5 Be 0.3730 0.8810 0.3730  6 Be 2.45-2.52
6 Be 0.8810 0.3730 0.3730  6 Be 2.45-2.52

Output
- Space-group type: F-43m, No. 216
- Fermi-level density of states: 1.254 states/eV per atom
- Formation energy from the elements: 0.143 eV/atom


Entry 10:
# Pm2ScTe2N2

A relaxed Pm2ScTe2N2 crystal (PBE, Alexandria via LeMat-Bulk).

Cell: 4.2278 4.2278 16.7606 Å, 90.00 90.00 90.00°
Last column: nearest neighbours and their distance in Å.
Fractional positions:
1 Pm 0.0000 0.0000 0.0965  4 N 2.66
2 Pm 0.0000 0.0000 0.9035  4 N 2.66
3 Pm 0.5000 0.5000 0.4035  4 N 2.66
4 Pm 0.5000 0.5000 0.5965  4 N 2.66
5 Sc 0.0000 0.0000 0.5000  4 N 2.11
6 Sc 0.5000 0.5000 0.0000  4 N 2.11
7 Te 0.0000 0.0000 0.3194  1 Sc 3.03, 4 Pm 3.31
8 Te 0.0000 0.0000 0.6806  1 Sc 3.03, 4 Pm 3.31
9 Te 0.5000 0.5000 0.1806  1 Sc 3.03, 4 Pm 3.31
10 Te 0.5000 0.5000 0.8194  1 Sc 3.03, 4 Pm 3.31
11 N 0.0000 0.5000 0.0000  2 Sc 2.11
12 N 0.0000 0.5000 0.5000  2 Sc 2.11
13 N 0.5000 0.0000 0.0000  2 Sc 2.11
14 N 0.5000 0.0000 0.5000  2 Sc 2.11

Output
- Space-group type: I4/mmm, No. 139
- Fermi-level density of states: 0.456 states/eV per atom
- Raw formation energy: -1.359 eV/atom


Entry 11:
# ScAl4As

A relaxed ScAl4As crystal (PBE, Alexandria via LeMat-Bulk).

Cell: 5.3542 5.3542 5.3542 Å, 60.00 60.00 60.00°
Last column: nearest neighbours and their distance in Å.
Fractional positions:
1 Sc 0.0000 0.0000 0.0000  12 Al 3.14, 4 As 3.28
2 Al 0.1235 0.6255 0.6255  6 Al 2.67-2.69
3 Al 0.6255 0.1235 0.6255  6 Al 2.67-2.69
4 Al 0.6255 0.6255 0.1235  6 Al 2.67-2.69
5 Al 0.6255 0.6255 0.6255  6 Al 2.67-2.69
6 As 0.2500 0.2500 0.2500  12 Al 3.14, 4 Sc 3.28

Output
- Space-group type: F-43m, No. 216
- Fermi-level density of states: 1.169 states/eV per atom
- Formation energy from the elements: -0.114 eV/atom


Entry 12:
# Pr2Nd4DyY2

A relaxed Pr2Nd4DyY2 crystal (PBE, Alexandria via LeMat-Bulk).

Cell: 9.7183 9.7183 9.7901 Å, 115.17 115.17 21.88°
Last column: nearest neighbours and their distance in Å.
Fractional positions:
1 Pr 0.1655 0.1655 0.4991  3 Nd 3.60-3.63, 3 Y 3.63-3.65, 2 Dy 3.66, 4 Pr 3.69-3.71
2 Pr 0.8345 0.8345 0.5009  3 Nd 3.60-3.63, 3 Y 3.63-3.65, 2 Dy 3.66, 4 Pr 3.69-3.71
3 Nd 0.0182 0.0182 0.8333  1 Pr 3.60, 5 Nd 3.62-3.69, 4 Y 3.63-3.66, 2 Dy 3.63
4 Nd 0.3145 0.3145 0.1667  6 Nd 3.63-3.69, 1 Dy 3.63, 2 Pr 3.63, 3 Y 3.63-3.68
5 Nd 0.6855 0.6855 0.8333  6 Nd 3.63-3.69, 1 Dy 3.63, 2 Pr 3.63, 3 Y 3.63-3.68
6 Nd 0.9818 0.9818 0.1667  1 Pr 3.60, 5 Nd 3.62-3.69, 4 Y 3.63-3.66, 2 Dy 3.63
7 Dy 0.5000 0.5000 0.5000  6 Nd 3.63, 4 Pr 3.66, 2 Dy 3.69
8 Y 0.3525 0.3525 0.8336  7 Nd 3.63-3.68, 3 Pr 3.63-3.65, 2 Y 3.69
9 Y 0.6475 0.6475 0.1664  7 Nd 3.63-3.68, 3 Pr 3.63-3.65, 2 Y 3.69

Output
- Space-group type: C2/m, No. 12
- Fermi-level density of states: 1.338 states/eV per atom
- Formation energy from the elements: 0.006 eV/atom